PBE SrMgZr2, relaxed; crystal system = tetragonal; energy of formation = 9.3 kcal/mol of atoms; DFT total energy = -18.76 eV per cell; V = 27.770 A^3/atom; magnetic moment = 0.000 μB/f.u.
1.0
3.546 0.000 0.000
0.000 3.546 0.000
0.000 0.000 8.833
Mg Sr Zr
1 1 2
Cartesian
1.773 1.773 2.208 Mg
1.773 1.773 6.625 Sr
0.000 0.000 0.575 Zr
0.000 0.000 3.842 Zr